Compound: Mn2Ga2Au7
Source: Alexandria
Functional: GGA-PBE
Structure: optimized geometry

Cell lengths 5.5757, 8.7717, 7.9016 Å; angles 90.00, 92.46, 90.00 degrees
Space group C2/m (No. 12)
Unique sites:
Mn (0.0000, 0.2440, 0.0000) x4
Ga (0.2209, 0.0000, 0.8474) x4
Au (0.0000, 0.0000, 0.5000) x2
Au (0.1229, 0.2866, 0.3394) x8
Au (0.2310, 0.5000, 0.8217) x4

Calculated values
formation enthalpy at 0 K: -0.33 eV per formula unit
size of the total moment: 0.68 μB per atom
N(E_F): 9.0 states/eV per cell


Compound: MnGa2Au6
Source: Alexandria
Functional: GGA-PBE
Structure: optimized geometry

Cell lengths 14.6968, 9.5393, 4.6057 Å; angles 90.00, 99.17, 90.00 degrees
Space group C2/c (No. 15)
Unique sites:
Mn (0.0000, 0.1378, 0.2500) x4
Ga (0.1627, 0.3473, 0.0887) x8
Au (0.0656, 0.3874, 0.5324) x8
Au (0.1006, 0.1121, 0.8012) x8
Au (0.2344, 0.1086, 0.3665) x8

Calculated values
formation enthalpy at 0 K: -0.77 eV per formula unit
size of the total moment: 0.48 μB per atom
N(E_F): 12.9 states/eV per cell
polymorph energy (0 for the lowest one): 0 meV/atom


Compound: Mn2Ga2Au5
Source: Alexandria
Functional: GGA-PBE
Structure: optimized geometry

Cell lengths 15.6854, 8.9568, 4.5483 Å; angles 90.00, 90.00, 90.00 degrees
Space group Ima2 (No. 46)
Unique sites:
Mn (0.0532, 0.1272, 0.0000) x8
Ga (0.0000, 0.0000, 0.4775) x4
Ga (0.2500, 0.0573, 0.9654) x4
Au (0.1088, 0.6504, 0.3164) x8
Au (0.1575, 0.1370, 0.4865) x8
Au (0.2500, 0.6464, 0.8650) x4

Calculated values
formation enthalpy at 0 K: -0.27 eV per formula unit
size of the total moment: 0.86 μB per atom
N(E_F): 13.5 states/eV per cell


Compound: MnGaAu14
Source: Alexandria
Functional: GGA-PBE
Structure: optimized geometry

Cell lengths 9.4304, 5.9580, 10.1639 Å; angles 90.00, 90.00, 90.00 degrees
Space group Amm2 (No. 38)
Unique sites:
Mn (0.0000, 0.0000, 0.0000) x2
Ga (0.0000, 0.0000, 0.5042) x2
Au (0.0000, 0.2490, 0.2556) x4
Au (0.2391, 0.2494, 0.0784) x8
Au (0.2485, 0.0000, 0.8325) x4
Au (0.2505, 0.0000, 0.3310) x4
Au (0.5000, 0.0000, 0.1609) x2
Au (0.5000, 0.0000, 0.6613) x2
Au (0.5000, 0.2499, 0.4140) x4

Calculated values
formation enthalpy at 0 K: -0.17 eV per formula unit
size of the total moment: 0.24 μB per atom
N(E_F): 13.4 states/eV per cell


Compound: Mn2GaAu8
Source: Alexandria
Functional: GGA-PBE
Structure: optimized geometry

Cell lengths 14.4759, 4.2312, 6.6099 Å; angles 90.00, 108.58, 90.00 degrees
Space group C2/m (No. 12)
Unique sites:
Mn (0.2206, 0.0000, 0.1449) x4
Ga (0.0000, 0.5000, 0.5000) x2
Au (0.0427, 0.0000, 0.2307) x4
Au (0.1000, 0.5000, 0.9501) x4
Au (0.1476, 0.0000, 0.7020) x4
Au (0.1779, 0.5000, 0.4134) x4

Calculated values
formation enthalpy at 0 K: -0.77 eV per formula unit
size of the total moment: 0.77 μB per atom
N(E_F): 6.3 states/eV per cell
polymorph energy (0 for the lowest one): 0 meV/atom


Compound: MnGaAu6
Source: Alexandria
Functional: GGA-PBE
Structure: optimized geometry

Cell lengths 9.3667, 4.1881, 7.7992 Å; angles 90.00, 113.18, 90.00 degrees
Space group C2/m (No. 12)
Unique sites:
Mn (0.0000, 0.0000, 0.0000) x2
Ga (0.0000, 0.0000, 0.5000) x2
Au (0.0106, 0.5000, 0.7415) x4
Au (0.2239, 0.0000, 0.3649) x4
Au (0.2427, 0.5000, 0.1215) x4

Calculated values
formation enthalpy at 0 K: -0.65 eV per formula unit
size of the total moment: 0.54 μB per atom
N(E_F): 5.3 states/eV per cell
polymorph energy (0 for the lowest one): 0 meV/atom


> Among the records above, which one has the lowest size of the total moment?

MnGaAu14


Please write out number 3 again, unchanged.
Compound: Mn2Ga2Au5
Source: Alexandria
Functional: GGA-PBE
Structure: optimized geometry

Cell lengths 15.6854, 8.9568, 4.5483 Å; angles 90.00, 90.00, 90.00 degrees
Space group Ima2 (No. 46)
Unique sites:
Mn (0.0532, 0.1272, 0.0000) x8
Ga (0.0000, 0.0000, 0.4775) x4
Ga (0.2500, 0.0573, 0.9654) x4
Au (0.1088, 0.6504, 0.3164) x8
Au (0.1575, 0.1370, 0.4865) x8
Au (0.2500, 0.6464, 0.8650) x4

Calculated values
formation enthalpy at 0 K: -0.27 eV per formula unit
size of the total moment: 0.86 μB per atom
N(E_F): 13.5 states/eV per cell


> The lowest N(E_F) belongs to which entry?

MnGaAu6